A relaxed Tl5Hg12As3 crystal, computed with PBE.

Cell lengths 15.0124, 15.0124, 15.0124 Å; angles 109.47, 109.47, 109.47 degrees
Closest atoms and distances in Å follow each position.
Sites, in units of the cell vectors:
Tl 0.8750 0.2500 0.6250  4 Hg 2.96
Hg 0.7422 0.1342 0.0722  1 As 2.83, 2 Tl 2.96-3.08, 1 Hg 3.09
Tl 0.5000 0.5000 0.5000  6 Hg 3.08
Hg 0.8300 0.8920 0.2578  1 As 2.83, 2 Tl 2.96-3.08, 1 Hg 3.09
As 0.8750 0.1250 0.2500  4 Hg 2.83
Tl 0.0000 0.5000 0.5000  6 Hg 3.08
As 0.6250 0.2500 0.3750  4 Hg 2.83
As 0.6250 0.3750 0.7500  4 Hg 2.83
Hg 0.4278 0.7578 0.8658  1 As 2.83, 2 Tl 2.96-3.08, 1 Hg 3.09
Hg 0.3658 0.9278 0.7578  1 As 2.83, 2 Tl 2.96-3.08, 1 Hg 3.09
Hg 0.1700 0.1080 0.7422  1 As 2.83, 2 Tl 2.96-3.08, 1 Hg 3.09
As 0.2500 0.6250 0.8750  4 Hg 2.83
Hg 0.7578 0.3300 0.8920  1 As 2.83, 2 Tl 2.96-3.08, 1 Hg 3.09
Tl 0.6250 0.8750 0.2500  4 Hg 2.96
Hg 0.0620 0.1700 0.4278  1 As 2.83, 2 Tl 2.96-3.08, 1 Hg 3.09
Hg 0.5620 0.6342 0.3920  1 As 2.83, 2 Tl 2.96-3.08, 1 Hg 3.09
Hg 0.3920 0.1342 0.5620  1 As 2.83, 2 Tl 2.96-3.08, 1 Hg 3.09
Tl 0.5000 0.5000 0.0000  6 Hg 3.08
Tl 0.5000 0.0000 0.5000  6 Hg 3.08
Hg 0.8920 0.8300 0.7578  1 As 2.83, 2 Tl 2.96-3.08, 1 Hg 3.09
As 0.1250 0.8750 0.7500  4 Hg 2.83
As 0.3750 0.7500 0.6250  4 Hg 2.83
Hg 0.3658 0.4380 0.1080  1 As 2.83, 2 Tl 2.96-3.08, 1 Hg 3.09
Hg 0.7578 0.4278 0.3658  1 As 2.83, 2 Tl 2.96-3.08, 1 Hg 3.09
Hg 0.5722 0.2422 0.1342  1 As 2.83, 2 Tl 2.96-3.08, 1 Hg 3.09
Hg 0.8300 0.9380 0.0722  1 As 2.83, 2 Tl 2.96-3.08, 1 Hg 3.09
Hg 0.5620 0.9278 0.6700  1 As 2.83, 2 Tl 2.96-3.08, 1 Hg 3.09
Hg 0.0722 0.6342 0.7422  1 As 2.83, 2 Tl 2.96-3.08, 1 Hg 3.09
Tl 0.8750 0.6250 0.7500  4 Hg 2.96
Hg 0.1700 0.0620 0.9278  1 As 2.83, 2 Tl 2.96-3.08, 1 Hg 3.09
Hg 0.2422 0.6700 0.1080  1 As 2.83, 2 Tl 2.96-3.08, 1 Hg 3.09
Hg 0.6700 0.2422 0.6080  1 As 2.83, 2 Tl 2.96-3.08, 1 Hg 3.09
Hg 0.5722 0.3300 0.9380  1 As 2.83, 2 Tl 2.96-3.08, 1 Hg 3.09
Hg 0.0722 0.4380 0.8300  1 As 2.83, 2 Tl 2.96-3.08, 1 Hg 3.09
Hg 0.6342 0.5620 0.8920  1 As 2.83, 2 Tl 2.96-3.08, 1 Hg 3.09
Hg 0.1080 0.1700 0.2422  1 As 2.83, 2 Tl 2.96-3.08, 1 Hg 3.09
Hg 0.1342 0.7422 0.5722  1 As 2.83, 2 Tl 2.96-3.08, 1 Hg 3.09
Tl 0.7500 0.6250 0.3750  4 Hg 2.96
Tl 0.3750 0.1250 0.7500  4 Hg 2.96
Hg 0.9380 0.8300 0.5722  1 As 2.83, 2 Tl 2.96-3.08, 1 Hg 3.09
Hg 0.1342 0.3920 0.0620  1 As 2.83, 2 Tl 2.96-3.08, 1 Hg 3.09
Hg 0.9278 0.5620 0.1700  1 As 2.83, 2 Tl 2.96-3.08, 1 Hg 3.09
Tl 0.5000 0.0000 0.0000  6 Hg 3.08
Hg 0.3920 0.2578 0.3300  1 As 2.83, 2 Tl 2.96-3.08, 1 Hg 3.09
As 0.1250 0.2500 0.8750  4 Hg 2.83
As 0.7500 0.8750 0.6250  4 Hg 2.83
Hg 0.8658 0.2578 0.4278  1 As 2.83, 2 Tl 2.96-3.08, 1 Hg 3.09
Hg 0.3300 0.5722 0.4380  1 As 2.83, 2 Tl 2.96-3.08, 1 Hg 3.09
Tl 0.3750 0.2500 0.1250  4 Hg 2.96
Hg 0.1080 0.9380 0.3658  1 As 2.83, 2 Tl 2.96-3.08, 1 Hg 3.09
Tl 0.2500 0.8750 0.1250  4 Hg 2.96
Hg 0.2578 0.8658 0.9278  1 As 2.83, 2 Tl 2.96-3.08, 1 Hg 3.09
Hg 0.6080 0.8658 0.4380  1 As 2.83, 2 Tl 2.96-3.08, 1 Hg 3.09
Hg 0.2422 0.5722 0.6342  1 As 2.83, 2 Tl 2.96-3.08, 1 Hg 3.09
Hg 0.0620 0.8920 0.1342  1 As 2.83, 2 Tl 2.96-3.08, 1 Hg 3.09
Hg 0.8658 0.6080 0.9380  1 As 2.83, 2 Tl 2.96-3.08, 1 Hg 3.09
As 0.8750 0.7500 0.1250  4 Hg 2.83
Hg 0.4380 0.3658 0.6080  1 As 2.83, 2 Tl 2.96-3.08, 1 Hg 3.09
As 0.7500 0.3750 0.1250  4 Hg 2.83
Hg 0.6080 0.7422 0.6700  1 As 2.83, 2 Tl 2.96-3.08, 1 Hg 3.09
Tl 0.1250 0.3750 0.2500  4 Hg 2.96
As 0.2500 0.1250 0.3750  4 Hg 2.83
Tl 0.1250 0.7500 0.3750  4 Hg 2.96
Tl 0.0000 0.5000 0.0000  6 Hg 3.08
Hg 0.4380 0.0722 0.3300  1 As 2.83, 2 Tl 2.96-3.08, 1 Hg 3.09
Hg 0.8920 0.0620 0.6342  1 As 2.83, 2 Tl 2.96-3.08, 1 Hg 3.09
Tl 0.0000 0.0000 0.5000  6 Hg 3.08
Tl 0.2500 0.3750 0.6250  4 Hg 2.96
Hg 0.3300 0.7578 0.3920  1 As 2.83, 2 Tl 2.96-3.08, 1 Hg 3.09
Hg 0.9380 0.1080 0.8658  1 As 2.83, 2 Tl 2.96-3.08, 1 Hg 3.09
Hg 0.4278 0.6700 0.0620  1 As 2.83, 2 Tl 2.96-3.08, 1 Hg 3.09
Tl 0.6250 0.7500 0.8750  4 Hg 2.96
Hg 0.6700 0.4278 0.5620  1 As 2.83, 2 Tl 2.96-3.08, 1 Hg 3.09
Hg 0.7422 0.6080 0.1700  1 As 2.83, 2 Tl 2.96-3.08, 1 Hg 3.09
As 0.3750 0.6250 0.2500  4 Hg 2.83
Tl 0.7500 0.1250 0.8750  4 Hg 2.96
Hg 0.2578 0.3920 0.8300  1 As 2.83, 2 Tl 2.96-3.08, 1 Hg 3.09
Hg 0.9278 0.3658 0.2578  1 As 2.83, 2 Tl 2.96-3.08, 1 Hg 3.09
Tl 0.0000 0.0000 0.0000  6 Hg 3.08
Hg 0.6342 0.0722 0.2422  1 As 2.83, 2 Tl 2.96-3.08, 1 Hg 3.09

## Properties
symmetry	Ia-3d (230)
energy	-26.0	eV per formula unit

A relaxed Tl3HgAs3 crystal, computed with PBE.

Cell lengths 7.5714, 7.5714, 7.5714 Å; angles 77.78, 77.78, 77.78 degrees
Closest atoms and distances in Å follow each position.
Sites, in units of the cell vectors:
As 0.0254 0.2734 0.7733  2 As 2.49
As 0.2267 0.9746 0.7266  2 As 2.49
Tl 0.3780 0.9765 0.2890  3 As 3.07-3.27
Tl 0.6220 0.0235 0.7110  3 As 3.07-3.27
Tl 0.9765 0.2890 0.3780  3 As 3.07-3.27
Hg 0.6004 0.6004 0.6004  1 Hg 3.14
As 0.7266 0.2267 0.9746  2 As 2.49
As 0.9746 0.7266 0.2267  2 As 2.49
Tl 0.7110 0.6220 0.0235  3 As 3.07-3.27
Hg 0.3996 0.3996 0.3996  1 Hg 3.14
Tl 0.2890 0.3780 0.9765  3 As 3.07-3.27
As 0.7733 0.0254 0.2734  2 As 2.49
As 0.2734 0.7733 0.0254  2 As 2.49
Tl 0.0235 0.7110 0.6220  3 As 3.07-3.27

## Properties
symmetry	R-3 (148)
energy	-21.1	eV per formula unit

A relaxed TlHg2As crystal, computed with PBE.

Cell lengths 7.4632, 7.4632, 7.4632 Å; angles 150.37, 147.08, 44.87 degrees
Closest atoms and distances in Å follow each position.
Sites, in units of the cell vectors:
Tl 0.4413 0.4413 0.0000  2 As 3.23, 6 Hg 3.29-3.43
As 0.2525 0.7525 0.5000  4 Hg 2.85
Hg 0.7456 0.2456 0.5000  4 As 2.85
Hg 0.0606 0.0606 0.0000  2 As 3.26, 4 Tl 3.29, 2 Hg 3.31

## Properties
symmetry	Imm2 (44)
energy	-7.2	eV per formula unit
energy above the most stable polymorph in this dataset	0.000	eV per formula unit

A relaxed TlHg3As crystal, computed with PBE.

Cell lengths 5.4461, 5.4461, 5.4461 Å; angles 90.00, 90.00, 90.00 degrees
Closest atoms and distances in Å follow each position.
Sites, in units of the cell vectors:
As 0.0000 0.0000 0.0000  6 Hg 2.72
Tl 0.5000 0.5000 0.5000  12 Hg 3.85
Hg 0.0000 0.5000 0.0000  2 As 2.72
Hg 0.5000 0.0000 0.0000  2 As 2.72
Hg 0.0000 0.0000 0.5000  2 As 2.72

## Properties
symmetry	Pm-3m (221)
energy	-6.9	eV per formula unit
energy above the most stable polymorph in this dataset	0.000	eV per formula unit

A relaxed TlHg2As crystal, computed with PBE.

Cell lengths 6.9524, 6.9524, 5.9126 Å; angles 118.21, 118.21, 25.56 degrees
Closest atoms and distances in Å follow each position.
Sites, in units of the cell vectors:
Hg 0.0149 0.0149 0.0174  1 As 2.79, 2 Hg 3.08
Hg 0.4851 0.4851 0.4826  1 As 2.79, 2 Hg 3.08
As 0.2500 0.2500 0.2500  2 Hg 2.79, 2 As 3.08
Tl 0.7500 0.7500 0.7500  2 Tl 3.08, 2 Hg 3.15, 4 As 3.33

## Properties
symmetry	C2/m (12)
energy	-7.1	eV per formula unit
energy above the most stable polymorph in this dataset	0.090	eV per formula unit

A relaxed TlHgAs2 crystal, computed with PBE.

Cell lengths 3.5940, 5.4065, 6.3526 Å; angles 107.62, 106.43, 90.00 degrees
Closest atoms and distances in Å follow each position.
Sites, in units of the cell vectors:
Hg 0.5000 0.5000 0.0000  2 As 2.78
Tl 0.0000 0.0000 0.0000  2 As 3.14, 4 Hg 3.25
As 0.2596 0.3522 0.5192  2 As 2.46
As 0.7404 0.6478 0.4808  2 As 2.46

## Properties
symmetry	C2/m (12)
energy	-11.8	eV per formula unit
energy above the most stable polymorph in this dataset	0.173	eV per formula unit

A relaxed TlHg2As crystal, computed with PBE.

Cell lengths 3.2683, 5.6028, 5.8878 Å; angles 90.00, 90.00, 90.00 degrees
Closest atoms and distances in Å follow each position.
Sites, in units of the cell vectors:
As 0.5000 0.5000 0.6251  2 Hg 2.94, 4 Tl 3.24, 2 As 3.27
Tl 0.0000 0.0000 0.6248  2 Hg 2.94, 4 As 3.24, 2 Tl 3.27
Hg 0.0000 0.0000 0.1248  2 Tl 2.94, 6 Hg 3.24-3.27
Hg 0.5000 0.5000 0.1252  2 As 2.94, 6 Hg 3.24-3.27

## Properties
symmetry	Pmmm (47)
energy	-7.0	eV per formula unit
energy above the most stable polymorph in this dataset	0.164	eV per formula unit

A relaxed TlHgAs2 crystal, computed with PBE.

Cell lengths 3.1781, 3.1781, 9.6879 Å; angles 90.00, 90.00, 104.29 degrees
Closest atoms and distances in Å follow each position.
Sites, in units of the cell vectors:
As 0.0000 0.0000 0.0239  2 Hg 2.93, 4 As 3.18
Hg 0.5000 0.5000 0.2500  4 As 2.93, 4 Hg 3.18
As 0.0000 0.0000 0.4761  2 Hg 2.93, 4 As 3.18
Tl 0.5000 0.5000 0.7500  4 Tl 3.18, 4 As 3.29

## Properties
symmetry	Cmmm (65)
energy	-10.6	eV per formula unit
energy above the most stable polymorph in this dataset	1.334	eV per formula unit

A relaxed TlHgAs2 crystal, computed with PBE.

Cell lengths 10.4949, 10.4949, 10.4949 Å; angles 17.91, 17.91, 17.91 degrees
Closest atoms and distances in Å follow each position.
Sites, in units of the cell vectors:
Tl 0.7500 0.7500 0.7500  6 Tl 3.27, 6 As 3.43
As 0.5092 0.5092 0.5092  3 Hg 2.97, 6 As 3.27
Hg 0.2500 0.2500 0.2500  6 As 2.97, 6 Hg 3.27
As 0.9908 0.9908 0.9908  3 Hg 2.97, 6 As 3.27

## Properties
symmetry	R-3m (166)
energy	-10.6	eV per formula unit
energy above the most stable polymorph in this dataset	1.342	eV per formula unit

A relaxed TmHgAs crystal, computed with PBE.

Cell lengths 4.7859, 4.7859, 9.5877 Å; angles 75.55, 75.55, 60.00 degrees
Closest atoms and distances in Å follow each position.
Sites, in units of the cell vectors:
Hg 0.1361 0.1361 0.5918  3 Hg 3.24, 3 As 3.61
As 0.7186 0.7186 0.8443  4 Tm 2.76-2.80
Tm 0.6168 0.6168 0.1496  4 As 2.76-2.80
As 0.2814 0.2814 0.1557  4 Tm 2.76-2.80
Hg 0.8639 0.8639 0.4082  3 Hg 3.24, 3 As 3.61
Tm 0.3832 0.3832 0.8504  4 As 2.76-2.80

## Properties
symmetry	R-3m (166)
energy	-11.3	eV per formula unit

Number 1: energy relative to the elements 0.1718 eV per atom. Number 2: energy relative to the elements 0.0319 eV per atom. Number 3: energy relative to the elements 0.1160 eV per atom. Number 4: energy relative to the elements 0.2012 eV per atom. Number 5: energy relative to the elements 0.1385 eV per atom. Number 6: energy relative to the elements 0.0535 eV per atom. Number 7: energy relative to the elements 0.1570 eV per atom. Number 8: energy relative to the elements 0.3437 eV per atom. Number 9: energy relative to the elements 0.3458 eV per atom. Number 10: energy relative to the elements -0.6205 eV per atom.